# GGA-PBE Tm2MgNb, optimized geometry
# D(E_F), states/eV/cell: 4.72
# ρ, g/cm3: 7.584
# Energy above the lowest structure with this stoichiometry, eV/f.u.: 0.00
# E, eV per cell: -20.159
data_Tm2MgNb
_chemical_formula_sum 'Tm2 Mg1 Nb1'
_symmetry_space_group_name_H-M 'P 4/m m m'
_symmetry_Int_Tables_number 123
_symmetry_space_group_name_Hall '-P 4 2'
_cell_length_a 3.3065
_cell_length_b 3.3065
_cell_length_c 9.1144
_cell_angle_alpha 90.00
_cell_angle_beta 90.00
_cell_angle_gamma 90.00
loop_
_atom_site_label
_atom_site_type_symbol
_atom_site_fract_x
_atom_site_fract_y
_atom_site_fract_z
_atom_site_occupancy
Tm1 Tm 0.0000 0.0000 0.2302 1
Mg1 Mg 0.5000 0.5000 0.5000 1
Nb1 Nb 0.5000 0.5000 0.0000 1